Pm2Y2ErTm2 (PBE, relaxed); energy relative to the elements = 0.95 eV per formula unit
1.0
2.8381 1.6386 8.1421
-2.8381 1.6386 8.1421
0.0000 -3.2771 8.1421
Pm Y Er Tm
2 2 1 2
direct
0.1385 0.1385 0.1385 Pm
0.8615 0.8615 0.8615 Pm
0.2856 0.2856 0.2856 Y
0.7144 0.7144 0.7144 Y
0.0000 0.0000 0.0000 Er
0.4277 0.4277 0.4277 Tm
0.5723 0.5723 0.5723 Tm